A plane-wave DFT calculation with GGA-PBE was carried out for an optimized crystal structure of RuRhBr.

Output
The calculation puts the formation energy without anion corrections at 0.65 eV per atom. The energy above the lowest structure with this stoichiometry comes out at 0.046 eV/atom. As for the volume: 16.86 Å³/atom. The symmetry is I4mm (107). The total energy is -16.34 eV per formula unit. Its theoretical density is 9320 kg/m³.

Cell lengths 2.9938, 2.9938, 11.2866 Å; angles 90.00, 90.00, 90.00 degrees
Closest atoms and distances in Å follow each position.
Sites, in units of the cell vectors:
Ru  0.0000  0.0000  0.0000  4 Rh 2.61, 4 Br 2.84
Ru  0.5000  0.5000  0.5000  4 Rh 2.61, 4 Br 2.84
Rh  0.0000  0.0000  0.6351  4 Ru 2.61
Rh  0.5000  0.5000  0.1351  4 Ru 2.61
Br  0.0000  0.0000  0.3324  4 Ru 2.84, 4 Br 2.99, 4 Rh 3.07
Br  0.5000  0.5000  0.8324  4 Ru 2.84, 4 Br 2.99, 4 Rh 3.07